# Dy4Mg3Os, relaxed, DFT PBE
# Energy of formation from the pure elements in eV/atom: -0.13
# DFT total energy in eV/atom: -4.43
# Volume in Å³/atom: 25.511
# D(E_F) in states/eV per cell: 6.9
data_Dy4Mg3Os
_space_group_name_H-M_alt 'P 4/m m m'
_space_group_IT_number 123
_space_group_name_Hall '-P 4 2'
_cell_length_a 3.496
_cell_length_b 3.496
_cell_length_c 16.701
_cell_angle_alpha 90.00
_cell_angle_beta 90.00
_cell_angle_gamma 90.00
loop_
_atom_site_label
_atom_site_fract_x
_atom_site_fract_y
_atom_site_fract_z
Dy1 0.000 0.000 0.097
Dy2 0.000 0.000 0.369
Mg1 0.500 0.500 0.239
Mg2 0.500 0.500 0.500
Os1 0.500 0.500 0.000